(1)
Here is FeHg after structural relaxation from Alexandria via LeMat-Bulk. Energies are from PBE-GGA.

Cell and atoms, written as POSCAR:
```
FeHg
1.0
3.1183 0.0000 0.0000
0.0000 3.1183 0.0000
0.0000 0.0000 7.0509
Fe Hg
2 2
Direct
0.2500 0.2500 0.0762
0.7500 0.7500 0.9238
0.2500 0.2500 0.6645
0.7500 0.7500 0.3355
```

Uncorrected energy = -16.27 eV for the cell shown
DOS(E_F) = 0.60 states/eV per atom
Space-group type = P4/nmm
Size of the total moment = 2.65 μB/f.u.

---

(2)
Here is KScCuCl6 after structural relaxation from Alexandria via LeMat-Bulk. Energies are from PBE-GGA.

Cell and atoms, written as POSCAR:
```
KScCuCl6
1.0
6.9014 0.0023 0.3060
3.4515 5.3650 0.1525
0.3554 -0.0013 6.9617
K Sc Cu Cl
1 1 1 6
Direct
0.0221 0.9561 0.0000
0.6785 0.6428 0.5001
0.3325 0.3338 0.4995
0.9774 0.3798 0.2586
0.3766 0.0212 0.7085
0.6430 0.3803 0.7419
0.9966 0.6329 0.6713
0.3708 0.6324 0.3286
0.6024 0.0208 0.2914
```

Uncorrected energy = -36.50 eV for the cell shown
Space-group type = P1
Size of the total moment = 0.98 μB/f.u.

---

(3)
Here is CaTc2Se after structural relaxation from Alexandria via LeMat-Bulk. Energies are from PBE-GGA.

Cell and atoms, written as POSCAR:
```
CaTc2Se
1.0
-0.1283 2.5990 1.7626
-1.8408 1.3670 -2.1496
-5.9830 -2.6341 3.4484
Ca Tc Se
1 2 1
Direct
0.5000 0.5000 0.2500
0.0000 0.0000 0.9379
0.0000 0.0000 0.5621
0.5000 0.5000 0.7500
```

Uncorrected energy = -24.37 eV for the cell shown
DOS(E_F) = 1.34 states/eV per atom
Space-group type = P4/mmm
Size of the total moment = 0.00 μB/f.u.

---

(4)
Here is LiBi2Sb after structural relaxation from Alexandria via LeMat-Bulk. Energies are from PBE-GGA.

Cell and atoms, written as POSCAR:
```
LiBi2Sb
1.0
-1.0694 -3.9371 -0.2551
2.8131 -0.5756 -2.9094
4.4734 -1.5147 4.6249
Sb Bi Li
1 2 1
Direct
0.5000 0.5000 0.5000
0.0000 0.0000 0.7638
0.0000 0.0000 0.2362
0.5000 0.5000 0.0000
```

Uncorrected energy = -13.88 eV for the cell shown
DOS(E_F) = 0.78 states/eV per atom
Space-group type = P4/mmm
Size of the total moment = 0.00 μB/f.u.

---

(5)
Here is HoZrTlCu after structural relaxation from Alexandria via LeMat-Bulk. Energies are from PBE-GGA.

Cell and atoms, written as POSCAR:
```
HoZrTlCu
1.0
5.0124 0.0000 0.0000
2.5062 4.3408 0.0000
2.5062 1.4469 4.0926
Tl Cu Ho Zr
1 1 1 1
Direct
0.0000 0.0000 0.0000
0.5000 0.5000 0.5000
0.7500 0.7500 0.7500
0.2500 0.2500 0.2500
```

Uncorrected energy = -19.88 eV for the cell shown
DOS(E_F) = 0.77 states/eV per atom
Space-group type = F-43m
Size of the total moment = 0.83 μB/f.u.

---

(6)
Here is NaLi14Ga after structural relaxation from Alexandria via LeMat-Bulk. Energies are from PBE-GGA.

Cell and atoms, written as POSCAR:
```
NaLi14Ga
1.0
7.1715 -0.0152 0.0000
0.0153 7.1715 0.0000
0.0000 0.0000 6.2617
Na Li Ga
1 14 1
Direct
0.8750 0.8750 0.5000
0.8750 0.8750 0.0000
0.3750 0.3750 0.0000
0.8750 0.3750 0.5000
0.8750 0.3750 0.0000
0.3750 0.8750 0.5000
0.3750 0.8750 0.0000
0.6029 0.1471 0.2571
0.6029 0.1471 0.7429
0.1471 0.6029 0.2571
0.1471 0.6029 0.7429
0.6029 0.6029 0.2571
0.6029 0.6029 0.7429
0.1471 0.1471 0.2571
0.1471 0.1471 0.7429
0.3750 0.3750 0.5000
```

Uncorrected energy = -31.52 eV for the cell shown
DOS(E_F) = 0.46 states/eV per atom
Space-group type = P4/mmm
Size of the total moment = 0.00 μB/f.u.

---

(7)
Here is LaYMo2 after structural relaxation from Alexandria via LeMat-Bulk. Energies are from PBE-GGA.

Cell and atoms, written as POSCAR:
```
LaYMo2
1.0
5.9330 0.0110 0.0336
-2.7209 4.9630 -0.0279
0.4912 0.9620 2.9273
La Mo Y
1 2 1
Direct
0.5000 0.5000 0.0000
0.0000 0.0000 0.0000
0.5000 0.0000 0.5000
0.0000 0.5000 0.5000
```

Uncorrected energy = -30.32 eV for the cell shown
DOS(E_F) = 1.49 states/eV per atom
Space-group type = C2/m
Size of the total moment = 0.00 μB/f.u.
Relative energy among the computed polymorphs = 0.500 eV per atom

---

(8)
Here is UGa5Pt after structural relaxation from Alexandria via LeMat-Bulk. Energies are from PBE-GGA.

Cell and atoms, written as POSCAR:
```
UGa5Pt
1.0
-0.9548 -2.9947 -3.0070
1.0931 -3.1518 2.7918
-6.4788 -0.2256 2.2820
U Ga Pt
1 5 1
Direct
0.0000 0.0000 0.0000
0.5000 0.5000 0.0000
0.5000 0.0000 0.7065
0.0000 0.5000 0.7065
0.5000 0.0000 0.2935
0.0000 0.5000 0.2935
0.0000 0.0000 0.5000
```

Uncorrected energy = -35.60 eV for the cell shown
DOS(E_F) = 0.92 states/eV per atom
Space-group type = P4/mmm
Size of the total moment = 1.53 μB/f.u.

---

(9)
Here is RbScSn after structural relaxation from Alexandria via LeMat-Bulk. Energies are from PBE-GGA.

Cell and atoms, written as POSCAR:
```
RbScSn
1.0
4.2535 -0.0012 0.0192
0.0001 4.1604 -0.0124
-4.3334 -1.9496 13.5170
Sc Sn Rb
2 2 2
Direct
0.1469 0.2021 0.5116
0.3242 0.7861 0.6879
0.8348 0.2910 0.6983
0.6383 0.6981 0.5032
0.3903 0.0831 0.2561
0.5867 0.4135 0.9455
```

Uncorrected energy = -24.04 eV for the cell shown
DOS(E_F) = 0.81 states/eV per atom
Space-group type = P1
Size of the total moment = 0.00 μB/f.u.
Relative energy among the computed polymorphs = 0.109 eV per atom

---

(10)
Here is CrIr2Ru4Rh after structural relaxation from Alexandria via LeMat-Bulk. Energies are from PBE-GGA.

Cell and atoms, written as POSCAR:
```
CrIr2Ru4Rh
1.0
-0.2302 0.5890 -3.7603
-3.6440 1.0147 0.3820
-1.5076 8.3015 1.3925
Cr Ir Ru Rh
1 2 4 1
Direct
0.0000 0.5000 0.5000
0.0000 0.0000 0.0000
0.5000 0.0000 0.5000
0.0000 0.7537 0.7461
0.0000 0.2463 0.2539
0.5000 0.7469 0.2531
0.5000 0.2531 0.7469
0.5000 0.5000 0.0000
```

Uncorrected energy = -71.91 eV for the cell shown
DOS(E_F) = 1.07 states/eV per atom
Space-group type = Pmmm
Size of the total moment = 0.62 μB/f.u.

---

(11)
Here is ZnGa4Bi after structural relaxation from Alexandria via LeMat-Bulk. Energies are from PBE-GGA.

Cell and atoms, written as POSCAR:
```
ZnGa4Bi
1.0
-0.8635 5.0435 -1.0742
-2.2399 -1.6736 -6.0570
-5.3124 -2.0970 6.2178
Zn Ga Bi
2 8 2
Direct
0.7561 0.5253 0.0506
0.2439 0.4747 0.9494
0.7822 0.3274 0.6548
0.5746 0.3237 0.2275
0.0000 0.1846 0.0000
0.4254 0.0962 0.7725
0.2178 0.6726 0.3452
0.4254 0.6763 0.7725
0.0000 0.8154 0.0000
0.5746 0.9038 0.2275
0.1781 0.2163 0.4326
0.8219 0.7837 0.5674
```

Uncorrected energy = -33.51 eV for the cell shown
DOS(E_F) = 0.27 states/eV per atom
Space-group type = C2/m
Size of the total moment = 0.00 μB/f.u.
Relative energy among the computed polymorphs = 0.000 eV per atom

---

(12)
Here is SrAsW2 after structural relaxation from Alexandria via LeMat-Bulk. Energies are from PBE-GGA.

Cell and atoms, written as POSCAR:
```
SrAsW2
1.0
5.9096 0.0010 0.0000
3.2325 4.9472 0.0000
-4.5710 -2.4741 2.8121
Sr As W
1 1 2
Direct
0.7500 0.2500 0.5000
0.2500 0.7500 0.5000
0.0000 0.0000 0.0000
0.5000 0.5000 0.0000
```

Uncorrected energy = -28.28 eV for the cell shown
DOS(E_F) = 0.98 states/eV per atom
Space-group type = I4/mmm
Size of the total moment = 0.00 μB/f.u.

---

Q: The lowest uncorrected energy belongs to which entry?
A: CrIr2Ru4Rh

---

Q: Which of these has the highest uncorrected energy?
A: LiBi2Sb

---

Q: What is the size of the total moment in the first record?
A: 2.65 μB/f.u.